Entry 1:
## YAlAg2 (meta-GGA SCAN)

Data for a crystal of YAlAg2 relaxed with PBEsol.

Output
D(E_F) (states/eV/atom): 0.374
Formation enthalpy at 0 K (kJ/mol of atoms): -25.1
DFT total energy (eV per cell): -99.37

Structure (CIF):
```
data_YAlAg2
_chemical_formula_sum 'Y1 Al1 Ag2'
_symmetry_space_group_name_H-M 'P 4/m m m'
_symmetry_Int_Tables_number 123
_symmetry_space_group_name_Hall '-P 4 2'
_cell_length_a 3.287
_cell_length_b 3.287
_cell_length_c 7.072
_cell_angle_alpha 90.00
_cell_angle_beta 90.00
_cell_angle_gamma 90.00
loop_
_atom_site_label
_atom_site_type_symbol
_atom_site_fract_x
_atom_site_fract_y
_atom_site_fract_z
Y1 Y 0.000 0.000 0.000
Al1 Al 0.000 0.000 0.500
Ag1 Ag 0.500 0.500 0.291
```

Entry 2:
## AlZnAg (meta-GGA SCAN)

Data for a crystal of AlZnAg relaxed with PBEsol.

Output
D(E_F) (states/eV/atom): 0.336
Formation enthalpy at 0 K (kJ/mol of atoms): -3.4
Excess energy over the best structure of this formula in the dataset (eV/atom): 0.024
DFT total energy (eV per cell): -52.74

Structure (CIF):
```
data_AlZnAg
_chemical_formula_sum 'Al1 Zn1 Ag1'
_symmetry_space_group_name_H-M 'P 3 m 1'
_symmetry_Int_Tables_number 156
_cell_length_a 2.8771
_cell_length_b 2.8771
_cell_length_c 6.5054
_cell_angle_alpha 90.00
_cell_angle_beta 90.00
_cell_angle_gamma 120.00
loop_
_symmetry_equiv_pos_as_xyz
'x,y,z'
'-y,x-y,z'
'-x+y,-x,z'
'-y,-x,z'
'-x+y,y,z'
'x,x-y,z'
loop_
_atom_site_label
_atom_site_type_symbol
_atom_site_fract_x
_atom_site_fract_y
_atom_site_fract_z
Al1 Al 0.0000 0.0000 0.0000
Zn1 Zn 0.3333 0.6667 0.6701
Ag1 Ag 0.6667 0.3333 0.3360
```

> Which value of D(E_F) does entry 2 give?

0.336 states/eV/atom

> Which of these has the lowest DFT total energy?

YAlAg2

Please write out number 2 again, unchanged.
## AlZnAg (meta-GGA SCAN)

Data for a crystal of AlZnAg relaxed with PBEsol.

Output
D(E_F) (states/eV/atom): 0.336
Formation enthalpy at 0 K (kJ/mol of atoms): -3.4
Excess energy over the best structure of this formula in the dataset (eV/atom): 0.024
DFT total energy (eV per cell): -52.74

Structure (CIF):
```
data_AlZnAg
_chemical_formula_sum 'Al1 Zn1 Ag1'
_symmetry_space_group_name_H-M 'P 3 m 1'
_symmetry_Int_Tables_number 156
_cell_length_a 2.8771
_cell_length_b 2.8771
_cell_length_c 6.5054
_cell_angle_alpha 90.00
_cell_angle_beta 90.00
_cell_angle_gamma 120.00
loop_
_symmetry_equiv_pos_as_xyz
'x,y,z'
'-y,x-y,z'
'-x+y,-x,z'
'-y,-x,z'
'-x+y,y,z'
'x,x-y,z'
loop_
_atom_site_label
_atom_site_type_symbol
_atom_site_fract_x
_atom_site_fract_y
_atom_site_fract_z
Al1 Al 0.0000 0.0000 0.0000
Zn1 Zn 0.3333 0.6667 0.6701
Ag1 Ag 0.6667 0.3333 0.3360
```